one.
# KTa2Tc

Crystalline KTa2Tc at its relaxed geometry (PBE, Alexandria via LeMat-Bulk).

Values from the calculation:
The calculation puts the density of states at the Fermi level at 0.962 states/eV per atom. For the total magnetic moment, the calculation gives 0.016 μB/atom.

a b c (Å): 8.3616 8.3616 8.3616
angles (deg): 157.94 149.75 37.76
Last column: nearest neighbours and their distance in Å.
Fractional positions:
K  0.3166  0.8166  0.5000  2 K 3.20, 2 Tc 3.54
Ta  0.0305  0.0305  0.0000  4 Tc 2.72, 2 Ta 2.76
Ta  0.6370  0.1370  0.5000  2 Tc 2.50, 2 Ta 2.76
Tc  0.5158  0.5158  0.0000  6 Ta 2.50-2.72


two.
# KTa2Tc

Crystalline KTa2Tc at its relaxed geometry (PBE, Alexandria via LeMat-Bulk).

Values from the calculation:
The calculation puts the density of states at the Fermi level at 1.888 states/eV per atom. For the total magnetic moment, the calculation gives 0.000 μB/atom.

a b c (Å): 4.7873 4.7873 4.7873
angles (deg): 120.15 120.15 89.74
Last column: nearest neighbours and their distance in Å.
Fractional positions:
K  0.7500  0.2500  0.5000  4 Ta 2.93, 4 Tc 2.93
Ta  0.0000  0.0000  0.0000  4 K 2.93, 4 Ta 2.93
Ta  0.2500  0.7500  0.5000  4 Tc 2.93, 4 Ta 2.93
Tc  0.5000  0.5000  0.0000  4 Ta 2.93, 4 K 2.93


three.
# KTa2Tc

Crystalline KTa2Tc at its relaxed geometry (PBE, Alexandria via LeMat-Bulk).

Values from the calculation:
The calculation puts the density of states at the Fermi level at 1.087 states/eV per atom. For the total magnetic moment, the calculation gives 0.000 μB/atom.

a b c (Å): 10.8198 10.8198 10.8198
angles (deg): 16.10 16.10 16.10
Last column: nearest neighbours and their distance in Å.
Fractional positions:
K  0.7500  0.7500  0.7500  6 K 3.03
Ta  0.9810  0.9810  0.9810  3 Tc 2.70
Ta  0.5190  0.5190  0.5190  3 Tc 2.70
Tc  0.2500  0.2500  0.2500  6 Ta 2.70


four.
# KTa2Tc

Crystalline KTa2Tc at its relaxed geometry (PBE, Alexandria via LeMat-Bulk).

Values from the calculation:
The calculation puts the density of states at the Fermi level at 0.645 states/eV per atom. For the total magnetic moment, the calculation gives 0.000 μB/atom.

a b c (Å): 2.9315 2.9315 10.7281
angles (deg): 90.00 90.00 114.04
Last column: nearest neighbours and their distance in Å.
Fractional positions:
K  0.5000  0.5000  0.7500  6 K 2.93-3.19
Ta  0.0000  0.0000  0.0557  2 Tc 2.62, 4 Ta 2.93
Ta  0.0000  0.0000  0.4443  2 Tc 2.62, 4 Ta 2.93
Tc  0.5000  0.5000  0.2500  4 Ta 2.62, 4 Tc 2.93


Quick one: least stable of them? two


one.
# K2TaTc

Crystalline K2TaTc at its relaxed geometry (PBE, Alexandria via LeMat-Bulk).

Values from the calculation:
The calculation puts the density of states at the Fermi level at 0.894 states/eV per atom. For the total magnetic moment, the calculation gives 0.150 μB/atom.

a b c (Å): 12.6337 12.6337 12.6337
angles (deg): 13.22 13.22 13.22
Last column: nearest neighbours and their distance in Å.
Fractional positions:
K  0.9950  0.9950  0.9950  6 K 2.91
K  0.5050  0.5050  0.5050  6 K 2.91
Ta  0.7500  0.7500  0.7500  6 Ta 2.91
Tc  0.2500  0.2500  0.2500  6 Tc 2.91


two.
# K2TaTc

Crystalline K2TaTc at its relaxed geometry (PBE, Alexandria via LeMat-Bulk).

Values from the calculation:
The calculation puts the density of states at the Fermi level at 1.023 states/eV per atom. For the total magnetic moment, the calculation gives 0.000 μB/atom.

a b c (Å): 2.7493 2.7493 12.4039
angles (deg): 90.00 90.00 90.00
Last column: nearest neighbours and their distance in Å.
Fractional positions:
K  0.0000  0.0000  0.9796  4 K 2.75
K  0.0000  0.0000  0.5204  4 K 2.75
Ta  0.5000  0.5000  0.2500  4 Ta 2.75
Tc  0.5000  0.5000  0.7500  4 Tc 2.75


Quick one: least stable of them? two


one.
# K2TaTc

Crystalline K2TaTc at its relaxed geometry (PBE, Alexandria via LeMat-Bulk).

Values from the calculation:
The calculation puts the density of states at the Fermi level at 0.628 states/eV per atom. For the total magnetic moment, the calculation gives 0.000 μB/atom.

a b c (Å): 3.3541 3.3541 11.0816
angles (deg): 90.00 90.00 90.00
Last column: nearest neighbours and their distance in Å.
Fractional positions:
K  0.0000  0.0000  0.9215  4 K 3.35, 4 Tc 3.55, 1 Ta 3.71
K  0.5000  0.5000  0.3088  4 K 3.35
Ta  0.0000  0.0000  0.5864  4 Tc 2.60
Tc  0.5000  0.5000  0.6832  4 Ta 2.60


two.
# K2TaTc

Crystalline K2TaTc at its relaxed geometry (PBE, Alexandria via LeMat-Bulk).

Values from the calculation:
The calculation puts the density of states at the Fermi level at 0.846 states/eV per atom. For the total magnetic moment, the calculation gives 0.000 μB/atom.

a b c (Å): 2.7970 2.7970 12.5178
angles (deg): 90.00 90.00 111.02
Last column: nearest neighbours and their distance in Å.
Fractional positions:
K  0.0000  0.0000  0.9821  4 K 2.80
K  0.0000  0.0000  0.5179  4 K 2.80
Ta  0.5000  0.5000  0.2500  4 Ta 2.80
Tc  0.5000  0.5000  0.7500  4 Tc 2.80


three.
# K2TaTc

Crystalline K2TaTc at its relaxed geometry (PBE, Alexandria via LeMat-Bulk).

Values from the calculation:
The calculation puts the density of states at the Fermi level at 0.658 states/eV per atom. For the total magnetic moment, the calculation gives 0.000 μB/atom.

a b c (Å): 3.4070 3.4070 12.0589
angles (deg): 81.61 81.61 60.02
Last column: nearest neighbours and their distance in Å.
Fractional positions:
K  0.9839  0.9839  0.0612  6 K 3.41, 3 Tc 3.46
K  0.7599  0.7599  0.7072  6 K 3.41
Ta  0.5223  0.5223  0.4311  3 Tc 2.51
Tc  0.2339  0.2339  0.3006  3 Ta 2.51


four.
# K2TaTc

Crystalline K2TaTc at its relaxed geometry (PBE, Alexandria via LeMat-Bulk).

Values from the calculation:
The calculation puts the density of states at the Fermi level at 0.902 states/eV per atom. For the total magnetic moment, the calculation gives 0.000 μB/atom.

a b c (Å): 10.9410 10.9410 4.0029
angles (deg): 79.72 79.72 16.80
Last column: nearest neighbours and their distance in Å.
Fractional positions:
K  0.8996  0.8996  0.1046  2 K 3.20, 2 Tc 3.56
K  0.6004  0.6004  0.3954  2 K 3.20, 2 Tc 3.56
Ta  0.7500  0.7500  0.7500  4 Tc 2.56
Tc  0.2500  0.2500  0.2500  4 Ta 2.56


Quick one: least stable of them? two


one.
# K2TaTc

Crystalline K2TaTc at its relaxed geometry (PBE, Alexandria via LeMat-Bulk).

Values from the calculation:
The calculation puts the density of states at the Fermi level at 0.919 states/eV per atom. For the total magnetic moment, the calculation gives 0.000 μB/atom.

a b c (Å): 3.2204 4.4869 6.2832
angles (deg): 90.00 90.00 90.00
Last column: nearest neighbours and their distance in Å.
Fractional positions:
K  0.0000  0.0000  0.0000  4 K 2.76
K  0.5000  0.5000  0.0000  4 K 2.76
Ta  0.5000  0.0000  0.5000  4 Tc 2.76
Tc  0.0000  0.5000  0.5000  4 Ta 2.76


two.
# K2TaTc

Crystalline K2TaTc at its relaxed geometry (PBE, Alexandria via LeMat-Bulk).

Values from the calculation:
The calculation puts the density of states at the Fermi level at 1.094 states/eV per atom. For the total magnetic moment, the calculation gives 0.000 μB/atom.

a b c (Å): 12.8067 12.8067 9.3324
angles (deg): 46.67 46.67 90.00
Last column: nearest neighbours and their distance in Å.
Fractional positions:
K  0.4570  0.1250  0.2500  2 Tc 3.42, 2 Ta 3.77
K  0.2930  0.6250  0.2500  2 Tc 3.42, 2 Ta 3.77
K  0.3750  0.5430  0.7500  2 Tc 3.42, 2 Ta 3.77
K  0.8750  0.7070  0.7500  2 Tc 3.42, 2 Ta 3.77
Tc  0.5000  0.5000  0.0000  2 Ta 2.26
Tc  0.2500  0.7500  0.5000  2 Ta 2.26
Ta  0.0000  0.0000  0.0000  2 Tc 2.26
Ta  0.7500  0.2500  0.5000  2 Tc 2.26


three.
# K2TaTc

Crystalline K2TaTc at its relaxed geometry (PBE, Alexandria via LeMat-Bulk).

Values from the calculation:
The calculation puts the density of states at the Fermi level at 1.369 states/eV per atom. For the total magnetic moment, the calculation gives 0.000 μB/atom.

a b c (Å): 6.7406 6.7406 2.7855
angles (deg): 90.00 90.00 132.75
Last column: nearest neighbours and their distance in Å.
Fractional positions:
K  0.0000  0.0000  0.0000  4 K 2.70-2.79
K  0.5000  0.5000  0.0000  4 K 2.70-2.79
Ta  0.5000  0.0000  0.5000  2 Tc 2.70, 2 Ta 2.79
Tc  0.0000  0.5000  0.5000  2 Ta 2.70, 2 Tc 2.79


Quick one: least stable of them? two


one.
# K2TaTc

Crystalline K2TaTc at its relaxed geometry (PBE, Alexandria via LeMat-Bulk).

Values from the calculation:
The calculation puts the density of states at the Fermi level at 0.938 states/eV per atom. For the total magnetic moment, the calculation gives 0.000 μB/atom.

a b c (Å): 4.9238 6.8489 2.9583
angles (deg): 80.10 82.95 109.45
Last column: nearest neighbours and their distance in Å.
Fractional positions:
K  0.0000  0.0000  0.0000  6 K 2.71-3.02
K  0.5000  0.0000  0.5000  6 K 2.71-3.02
Ta  0.0000  0.5000  0.5000  4 Tc 2.71-3.02, 2 Ta 2.96
Tc  0.5000  0.5000  0.0000  4 Ta 2.71-3.02, 2 Tc 2.96


two.
# K2TaTc

Crystalline K2TaTc at its relaxed geometry (PBE, Alexandria via LeMat-Bulk).

Values from the calculation:
The calculation puts the density of states at the Fermi level at 0.507 states/eV per atom. For the total magnetic moment, the calculation gives 0.000 μB/atom.

a b c (Å): 5.0324 5.0324 5.0324
angles (deg): 119.96 119.96 90.07
Last column: nearest neighbours and their distance in Å.
Fractional positions:
K  0.0000  0.0000  0.0000  4 Tc 3.08, 4 K 3.08
K  0.2500  0.7500  0.5000  4 K 3.08, 4 Ta 3.08
Ta  0.5000  0.5000  0.0000  4 Tc 3.08, 4 K 3.08
Tc  0.7500  0.2500  0.5000  4 Ta 3.08, 4 K 3.08


three.
# K2TaTc

Crystalline K2TaTc at its relaxed geometry (PBE, Alexandria via LeMat-Bulk).

Values from the calculation:
The calculation puts the density of states at the Fermi level at 1.902 states/eV per atom. For the total magnetic moment, the calculation gives 0.000 μB/atom.

a b c (Å): 5.2648 5.2648 5.2648
angles (deg): 60.00 60.00 60.00
Last column: nearest neighbours and their distance in Å.
Fractional positions:
K  0.2500  0.2500  0.2500  4 Ta 3.22, 4 Tc 3.22
K  0.7500  0.7500  0.7500  4 Ta 3.22, 4 Tc 3.22
Tc  0.0000  0.0000  0.0000  8 K 3.22
Ta  0.5000  0.5000  0.5000  8 K 3.22


Quick one: least stable of them? three


one.
# K2TaTc

Crystalline K2TaTc at its relaxed geometry (PBE, Alexandria via LeMat-Bulk).

Values from the calculation:
The calculation puts the density of states at the Fermi level at 0.687 states/eV per atom. For the total magnetic moment, the calculation gives 0.000 μB/atom.

a b c (Å): 3.2284 3.2284 11.9849
angles (deg): 90.00 90.00 114.80
Last column: nearest neighbours and their distance in Å.
Fractional positions:
K  0.0000  0.0000  0.9435  6 K 3.23-3.48, 2 Tc 3.36
K  0.5000  0.5000  0.2914  6 K 3.23-3.48
Ta  0.0000  0.0000  0.5614  2 Tc 2.44
Tc  0.5000  0.5000  0.7036  2 Ta 2.44


two.
# K2TaTc

Crystalline K2TaTc at its relaxed geometry (PBE, Alexandria via LeMat-Bulk).

Values from the calculation:
The calculation puts the density of states at the Fermi level at 1.118 states/eV per atom. For the total magnetic moment, the calculation gives 0.006 μB/atom.

a b c (Å): 2.7912 6.1918 5.3957
angles (deg): 90.00 90.00 90.00
Last column: nearest neighbours and their distance in Å.
Fractional positions:
K  0.0000  0.0000  0.9974  4 K 2.67-2.79
K  0.0000  0.0000  0.5026  4 K 2.67-2.79
Ta  0.5000  0.5000  0.2500  2 Tc 2.70, 2 Ta 2.79
Tc  0.5000  0.5000  0.7500  2 Ta 2.70, 2 Tc 2.79


Quick one: least stable of them? two